# 1
# Na3TeO, relaxed, DFT PBE-GGA
data_Na3TeO
_space_group_name_H-M_alt 'P 1'
_space_group_IT_number 1
_space_group_name_Hall 'P 1'
_cell_length_a 5.420
_cell_length_b 6.616
_cell_length_c 6.678
_cell_angle_alpha 89.85
_cell_angle_beta 89.81
_cell_angle_gamma 86.32
loop_
_atom_site_label
_atom_site_type_symbol
_atom_site_fract_x
_atom_site_fract_y
_atom_site_fract_z
_atom_site_occupancy
Na1 Na 0.000 0.000 0.000 1
Na2 Na 0.001 0.001 0.463 1
Na3 Na 0.441 0.221 0.230 1
Na4 Na 0.493 0.731 0.013 1
Na5 Na 0.496 0.732 0.448 1
Na6 Na 0.898 0.506 0.730 1
Te1 Te 0.510 0.133 0.731 1
Te2 Te 0.927 0.468 0.229 1
O1 O 0.289 0.921 0.231 1
O2 O 0.718 0.856 0.730 1
# energy above the most stable polymorph in this dataset	0.025	eV/atom
# raw formation energy	-0.92	eV per atom
# mass density	2954	kg/m³

# 2
# Na4TeO5, relaxed, DFT PBE-GGA
data_Na4TeO5
_space_group_name_H-M_alt 'P -1'
_space_group_IT_number 2
_space_group_name_Hall '-P 1'
_cell_length_a 5.773
_cell_length_b 5.810
_cell_length_c 8.630
_cell_angle_alpha 108.68
_cell_angle_beta 101.55
_cell_angle_gamma 102.54
loop_
_atom_site_label
_atom_site_type_symbol
_atom_site_fract_x
_atom_site_fract_y
_atom_site_fract_z
_atom_site_occupancy
Na1 Na 0.000 0.000 0.000 1
Na2 Na 0.086 0.204 0.698 1
Na3 Na 0.203 0.397 0.401 1
Na4 Na 0.290 0.585 0.100 1
Na5 Na 0.500 0.000 0.500 1
Te1 Te 0.396 0.804 0.797 1
O1 O 0.106 0.632 0.846 1
O2 O 0.189 0.826 0.599 1
O3 O 0.306 0.016 0.240 1
O4 O 0.385 0.154 0.962 1
O5 O 0.445 0.481 0.688 1
# energy above the most stable polymorph in this dataset	0.000	eV/atom
# raw formation energy	-1.53	eV per atom
# mass density	3885	kg/m³

# 3
# Na2TeO4, relaxed, DFT PBE-GGA
data_Na2TeO4
_space_group_name_H-M_alt 'P b c n'
_space_group_IT_number 60
_space_group_name_Hall '-P 2n 2ab'
_cell_length_a 5.836
_cell_length_b 12.350
_cell_length_c 5.293
_cell_angle_alpha 90.00
_cell_angle_beta 90.00
_cell_angle_gamma 90.00
loop_
_atom_site_label
_atom_site_type_symbol
_atom_site_fract_x
_atom_site_fract_y
_atom_site_fract_z
_atom_site_occupancy
Na1 Na 0.000 0.139 0.250 1
Na2 Na 0.000 0.275 0.750 1
Te1 Te 0.000 0.428 0.250 1
O1 O 0.179 0.450 0.571 1
O2 O 0.202 0.326 0.113 1
# energy above the most stable polymorph in this dataset	0.012	eV/atom
# raw formation energy	-1.41	eV per atom
# mass density	4137	kg/m³

The lowest mass density belongs to which entry? Na3TeO